No. 1
# Li2NiMo (GGA-PBEsol, optimized geometry)
data_Li2NiMo
_cell_length_a 5.091
_cell_length_b 5.091
_cell_length_c 2.435
_cell_angle_alpha 90.00
_cell_angle_beta 90.00
_cell_angle_gamma 123.63
_symmetry_space_group_name_H-M 'P 1'
_symmetry_Int_Tables_number 1
loop_
_symmetry_equiv_pos_as_xyz
'x,y,z'
loop_
_atom_site_label
_atom_site_type_symbol
_atom_site_fract_x
_atom_site_fract_y
_atom_site_fract_z
Li1 Li 0.000 0.500 0.000
Li2 Li 0.500 0.000 0.000
Ni1 Ni 0.000 0.000 0.500
Mo1 Mo 0.500 0.500 0.500
# - Energy above the most stable polymorph in this dataset: 0.127 eV/atom
# - Calculated formation energy: 399 meV/atom
# - D(E_F): 0.713 states/eV/atom



No. 2
# Li7Co5O12 (GGA-PBEsol, optimized geometry)
data_Li7Co5O12
_cell_length_a 4.857
_cell_length_b 4.857
_cell_length_c 9.238
_cell_angle_alpha 94.64
_cell_angle_beta 94.64
_cell_angle_gamma 118.65
_symmetry_space_group_name_H-M 'P 1'
_symmetry_Int_Tables_number 1
loop_
_symmetry_equiv_pos_as_xyz
'x,y,z'
loop_
_atom_site_label
_atom_site_type_symbol
_atom_site_fract_x
_atom_site_fract_y
_atom_site_fract_z
Li1 Li 0.000 0.000 0.000
Li2 Li 0.247 0.260 0.757
Li3 Li 0.331 0.669 0.000
Li4 Li 0.411 0.087 0.247
Li5 Li 0.740 0.753 0.243
Li6 Li 0.820 0.180 0.500
Li7 Li 0.913 0.589 0.753
Co1 Co 0.085 0.410 0.240
Co2 Co 0.152 0.848 0.500
Co3 Co 0.492 0.508 0.500
Co4 Co 0.590 0.915 0.760
Co5 Co 0.657 0.343 0.000
O1 O 0.014 0.667 0.123
O2 O 0.142 0.162 0.384
O3 O 0.238 0.599 0.623
O4 O 0.333 0.986 0.877
O5 O 0.378 0.377 0.121
O6 O 0.401 0.762 0.377
O7 O 0.499 0.203 0.610
O8 O 0.623 0.622 0.879
O9 O 0.729 0.088 0.130
O10 O 0.797 0.501 0.390
O11 O 0.838 0.858 0.616
O12 O 0.912 0.271 0.870
# - Energy above the most stable polymorph in this dataset: 0.055 eV/atom
# - D(E_F): 0.439 states/eV/atom
# - Uncorrected formation energy: -1.483 eV per atom



No. 3
# Na9SmSi4Se12 (GGA-PBEsol, optimized geometry)
data_Na9SmSi4Se12
_cell_length_a 9.712
_cell_length_b 9.712
_cell_length_c 6.965
_cell_angle_alpha 96.82
_cell_angle_beta 96.82
_cell_angle_gamma 76.61
_symmetry_space_group_name_H-M 'P 1'
_symmetry_Int_Tables_number 1
loop_
_symmetry_equiv_pos_as_xyz
'x,y,z'
loop_
_atom_site_label
_atom_site_type_symbol
_atom_site_fract_x
_atom_site_fract_y
_atom_site_fract_z
Na1 Na 0.000 0.000 0.000
Na2 Na 0.099 0.397 0.251
Na3 Na 0.254 0.245 0.750
Na4 Na 0.426 0.078 0.255
Na5 Na 0.522 0.478 0.500
Na6 Na 0.603 0.901 0.749
Na7 Na 0.755 0.746 0.250
Na8 Na 0.841 0.159 0.500
Na9 Na 0.922 0.574 0.745
Sm1 Sm 0.343 0.657 0.000
Si1 Si 0.098 0.749 0.478
Si2 Si 0.251 0.902 0.522
Si3 Si 0.603 0.242 0.968
Si4 Si 0.758 0.397 0.032
Se1 Se 0.065 0.696 0.147
Se2 Se 0.144 0.105 0.389
Se3 Se 0.216 0.549 0.626
Se4 Se 0.304 0.935 0.853
Se5 Se 0.398 0.367 0.108
Se6 Se 0.451 0.784 0.374
Se7 Se 0.552 0.197 0.645
Se8 Se 0.633 0.602 0.892
Se9 Se 0.704 0.044 0.120
Se10 Se 0.803 0.448 0.355
Se11 Se 0.895 0.856 0.611
Se12 Se 0.956 0.296 0.880
# - D(E_F): 0.000 states/eV/atom
# - Uncorrected formation energy: -1.003 eV per atom



no.,total energy (eV per atom)
1,-5.066
2,-6.293
3,-4.345